A plane-wave DFT calculation with GGA+U was carried out for Er2MnCrO6 after structural relaxation.

Density = 7.50 Mg/m³
E = -80.51 eV for the cell shown
Volume = 118.9 Å³/cell

Structure (POSCAR):
```
Er2MnCrO6
1.0
5.3444 0.0000 0.0000
2.6045 4.8152 0.0000
0.0013 2.9685 4.6218
Er Mn Cr O
2 1 1 6
Direct
0.0000 0.0000 0.0000
0.4957 0.0052 0.4965
0.2739 0.4510 0.8385
0.7783 0.4460 0.3441
0.0601 0.3061 0.1227
0.1418 0.3067 0.6282
0.4176 0.5237 0.1220
0.5567 0.5204 0.6315
0.6496 0.9179 0.1385
0.9116 0.9629 0.6140
```